First-principles (PBE) data for a geometry-optimized Y3CdN structure, as listed in OQMD.

abc: 4.8283 4.8283 4.8283
angles: 90.00 90.00 90.00
With the nearest neighbours (Å) after each atom.
Sites, in units of the cell vectors:
Y (0.0000, 0.0000, 0.5000)  2 N 2.41
Y (0.0000, 0.5000, 0.0000)  2 N 2.41
Y (0.5000, 0.0000, 0.0000)  2 N 2.41
Cd (0.5000, 0.5000, 0.5000)  12 Y 3.41
N (0.0000, 0.0000, 0.0000)  6 Y 2.41

## Properties
space-group type = Pm-3m, No. 221
uncorrected energy = -6.59 eV/atom
volume = 22.51 Å³/atom